Record 1
# PBE-GGA La3RuCl2, optimized geometry
# * uncorrected formation energy: -1.24 eV/atom
data_La3RuCl2
_cell_length_a 7.277
_cell_length_b 12.603
_cell_length_c 7.942
_cell_angle_alpha 90.00
_cell_angle_beta 107.61
_cell_angle_gamma 90.00
_symmetry_space_group_name_H-M 'C 1 2/m 1'
_symmetry_Int_Tables_number 12
_symmetry_space_group_name_Hall '-C 2y'
loop_
_atom_site_label
_atom_site_type_symbol
_atom_site_fract_x
_atom_site_fract_y
_atom_site_fract_z
La1 La 0.210 0.000 0.210
La2 La 0.249 0.180 0.788
Ru1 Ru 0.000 0.167 0.000
Cl1 Cl 0.000 0.000 0.500
Cl2 Cl 0.000 0.335 0.500
Cl3 Cl 0.000 0.500 0.000

Record 2
# PBE-GGA La3RuCl, optimized geometry
# * uncorrected formation energy: -0.72 eV/atom
# * relative energy among the computed polymorphs: 17.7 meV/atom
data_La3RuCl
_cell_length_a 4.091
_cell_length_b 7.490
_cell_length_c 9.658
_cell_angle_alpha 90.00
_cell_angle_beta 90.00
_cell_angle_gamma 90.00
_symmetry_space_group_name_H-M 'P m m n'
_symmetry_Int_Tables_number 59
loop_
_symmetry_equiv_pos_as_xyz
'x,y,z'
'-x,-y,-z'
'-x+1/2,-y+1/2,z'
'x+1/2,y+1/2,-z'
'x+1/2,-y,-z'
'-x+1/2,y,z'
'-x,y+1/2,-z'
'x,-y+1/2,z'
loop_
_atom_site_label
_atom_site_type_symbol
_atom_site_fract_x
_atom_site_fract_y
_atom_site_fract_z
La1 La 0.250 0.001 0.160
La2 La 0.250 0.750 0.567
Ru1 Ru 0.250 0.750 0.886
Cl1 Cl 0.250 0.250 0.673

Record 3
# PBE-GGA LaRu2Cl, optimized geometry
# * uncorrected formation energy: 0.16 eV/atom
# * relative energy among the computed polymorphs: 394.6 meV/atom
data_LaRu2Cl
_cell_length_a 4.838
_cell_length_b 4.838
_cell_length_c 15.185
_cell_angle_alpha 90.00
_cell_angle_beta 90.00
_cell_angle_gamma 90.00
_symmetry_space_group_name_H-M 'I -4 2 d'
_symmetry_Int_Tables_number 122
_symmetry_space_group_name_Hall 'I -4 2bw'
loop_
_atom_site_label
_atom_site_type_symbol
_atom_site_fract_x
_atom_site_fract_y
_atom_site_fract_z
La1 La 0.000 0.000 0.000
Ru1 Ru 0.090 0.250 0.625
Cl1 Cl 0.000 0.000 0.500

Record 4
# PBE-GGA LaRuCl2, optimized geometry
# * uncorrected formation energy: -0.51 eV/atom
# * relative energy among the computed polymorphs: 437.0 meV/atom
data_LaRuCl2
_cell_length_a 4.513
_cell_length_b 4.513
_cell_length_c 8.349
_cell_angle_alpha 90.00
_cell_angle_beta 90.00
_cell_angle_gamma 90.00
_symmetry_space_group_name_H-M 'I 4/m m m'
_symmetry_Int_Tables_number 139
_symmetry_space_group_name_Hall '-I 4 2'
loop_
_atom_site_label
_atom_site_type_symbol
_atom_site_fract_x
_atom_site_fract_y
_atom_site_fract_z
La1 La 0.000 0.000 0.000
Ru1 Ru 0.000 0.000 0.500
Cl1 Cl 0.000 0.500 0.250

Record 5
# PBE-GGA LaRu2Cl, optimized geometry
# * uncorrected formation energy: 0.00 eV/atom
# * relative energy among the computed polymorphs: 240.1 meV/atom
data_LaRu2Cl
_cell_length_a 3.757
_cell_length_b 3.784
_cell_length_c 5.721
_cell_angle_alpha 90.00
_cell_angle_beta 90.00
_cell_angle_gamma 90.00
_symmetry_space_group_name_H-M 'P m m m'
_symmetry_Int_Tables_number 47
_symmetry_space_group_name_Hall '-P 2 2'
loop_
_atom_site_label
_atom_site_type_symbol
_atom_site_fract_x
_atom_site_fract_y
_atom_site_fract_z
La1 La 0.000 0.000 0.000
Ru1 Ru 0.000 0.500 0.500
Ru2 Ru 0.500 0.000 0.500
Cl1 Cl 0.500 0.500 0.000

Record 6
# PBE-GGA La6Ru3Cl, optimized geometry
# * uncorrected formation energy: -0.52 eV/atom
data_La6Ru3Cl
_cell_length_a 12.246
_cell_length_b 4.176
_cell_length_c 12.417
_cell_angle_alpha 90.00
_cell_angle_beta 109.55
_cell_angle_gamma 90.00
_symmetry_space_group_name_H-M 'P 1 21/m 1'
_symmetry_Int_Tables_number 11
_symmetry_space_group_name_Hall '-P 2yb'
loop_
_atom_site_label
_atom_site_type_symbol
_atom_site_fract_x
_atom_site_fract_y
_atom_site_fract_z
La1 La 0.044 0.250 0.391
La2 La 0.089 0.250 0.931
La3 La 0.223 0.750 0.255
La4 La 0.263 0.250 0.698
La5 La 0.403 0.750 0.541
La6 La 0.435 0.250 0.147
Ru1 Ru 0.083 0.250 0.158
Ru2 Ru 0.173 0.750 0.534
Ru3 Ru 0.487 0.750 0.301
Cl1 Cl 0.349 0.750 0.927

Record 7
# PBE-GGA LaRu2Cl, optimized geometry
# * uncorrected formation energy: 0.39 eV/atom
# * relative energy among the computed polymorphs: 626.8 meV/atom
data_LaRu2Cl
_cell_length_a 5.266
_cell_length_b 9.089
_cell_length_c 3.320
_cell_angle_alpha 90.00
_cell_angle_beta 90.00
_cell_angle_gamma 90.00
_symmetry_space_group_name_H-M 'C m m m'
_symmetry_Int_Tables_number 65
_symmetry_space_group_name_Hall '-C 2 2'
loop_
_atom_site_label
_atom_site_type_symbol
_atom_site_fract_x
_atom_site_fract_y
_atom_site_fract_z
La1 La 0.000 0.000 0.000
Ru1 Ru 0.250 0.250 0.500
Cl1 Cl 0.000 0.500 0.000

Record 8
# PBE-GGA LaRu2Cl, optimized geometry
# * uncorrected formation energy: -0.04 eV/atom
# * relative energy among the computed polymorphs: 194.0 meV/atom
data_LaRu2Cl
_cell_length_a 11.829
_cell_length_b 4.136
_cell_length_c 3.647
_cell_angle_alpha 90.00
_cell_angle_beta 107.63
_cell_angle_gamma 90.00
_symmetry_space_group_name_H-M 'C 1 2/m 1'
_symmetry_Int_Tables_number 12
_symmetry_space_group_name_Hall '-C 2y'
loop_
_atom_site_label
_atom_site_type_symbol
_atom_site_fract_x
_atom_site_fract_y
_atom_site_fract_z
La1 La 0.000 0.000 0.000
Ru1 Ru 0.245 0.000 0.831
Cl1 Cl 0.000 0.500 0.500

no.,total moment (Bohr magnetons per cell),volume (Å³/cell)
1,0.00,694.2
2,0.00,295.9
3,0.00,355.4
4,3.76,170.0
5,0.00,81.3
6,0.00,598.4
7,0.00,158.9
8,0.00,170.0